Crystalline Y2TmTeO8 at its relaxed geometry. Source: Alexandria, functional PBE-GGA.

Cell: 5.0404 5.0404 6.8160 Å, 90.00 90.00 91.12°
Fractional coordinates of all 12 atoms:
Y 0.0000 0.0000 0.2499
Y 0.0000 0.0000 0.7501
Tm 0.5000 0.5000 0.0000
Te 0.5000 0.5000 0.5000
O 0.1951 0.1951 0.0000
O 0.2250 0.2250 0.5000
O 0.3190 0.6810 0.2848
O 0.3190 0.6810 0.7152
O 0.6810 0.3190 0.2848
O 0.6810 0.3190 0.7152
O 0.7750 0.7750 0.5000
O 0.8049 0.8049 0.0000

Results
space-group type	Cmmm (65)
uncorrected formation energy	-2.51	eV/atom
mass density	5.8	g cm⁻³